Computed, not measured: a relaxed structure of In2FeNiI at the PBE level of DFT.

Properties
Symmetry = P4/mmm, No. 123
Energy relative to the elements, uncorrected = 0.4959 eV/atom
M_tot = 3.18 μB/f.u.

Cell and atoms, written as POSCAR:
```
In2FeNiI
1.0
5.3556 0.0000 0.0000
0.0000 5.3556 0.0000
0.0000 0.0000 4.4430
In Fe Ni I
2 1 1 1
Cartesian
0.0000 2.6778 0.0000 In
2.6778 0.0000 0.0000 In
0.0000 0.0000 0.0000 Fe
0.0000 0.0000 2.2215 Ni
2.6778 2.6778 2.2215 I
```

---

Computed, not measured: a relaxed structure of Ba4CdSb at the PBE level of DFT.

Properties
Symmetry = F-43m, No. 216
Energy relative to the elements, uncorrected = 0.1563 eV/atom
M_tot = 0.85 μB/f.u.

Cell and atoms, written as POSCAR:
```
Ba4CdSb
1.0
0.0000 5.1223 5.1223
5.1223 0.0000 5.1223
5.1223 5.1223 0.0000
Ba Cd Sb
4 1 1
Cartesian
3.8561 3.8561 3.8561 Ba
6.3884 6.3884 3.8561 Ba
6.3884 3.8561 6.3884 Ba
3.8561 6.3884 6.3884 Ba
0.0000 0.0000 0.0000 Cd
7.6834 7.6834 7.6834 Sb
```

---

Computed, not measured: a relaxed structure of Ba2Ge4PdAu3 at the PBE level of DFT.

Properties
Symmetry = P-4m2, No. 115
M_tot = 0.00 μB/f.u.
Calculated formation energy = -51 kJ per mole of atoms

Cell and atoms, written as POSCAR:
```
Ba2Ge4PdAu3
1.0
4.6691 0.0000 0.0000
0.0000 4.6691 0.0000
0.0000 0.0000 10.5778
Ba Ge Pd Au
2 4 1 3
Cartesian
0.0000 2.3345 2.6359 Ba
2.3345 0.0000 7.9419 Ba
0.0000 0.0000 5.2889 Ge
0.0000 2.3345 9.3442 Ge
2.3345 0.0000 1.2336 Ge
2.3345 2.3345 5.2889 Ge
2.3345 2.3345 0.0000 Pd
0.0000 0.0000 0.0000 Au
0.0000 2.3345 6.6469 Au
2.3345 0.0000 3.9309 Au
```

---

Computed, not measured: a relaxed structure of DyHgPb3 at the PBE level of DFT.

Properties
Symmetry = Pmmn, No. 59
M_tot = 0.00 μB/f.u.
ΔE to the lowest computed polymorph = 0 meV/atom
Calculated formation energy = -6 kJ per mole of atoms

Cell and atoms, written as POSCAR:
```
DyHgPb3
1.0
5.2353 0.0000 0.0000
0.0000 6.5356 0.0000
0.0000 0.0000 9.4427
Dy Hg Pb
2 2 6
Cartesian
1.3088 1.6339 0.9274 Dy
3.9265 4.9017 8.5153 Dy
1.3088 4.9017 4.1987 Hg
3.9265 1.6339 5.2439 Hg
1.3088 3.2871 7.0410 Pb
1.3088 4.9017 0.9105 Pb
1.3088 6.5162 7.0410 Pb
3.9265 0.0194 2.4017 Pb
3.9265 1.6339 8.5322 Pb
3.9265 3.2484 2.4017 Pb
```

---

Computed, not measured: a relaxed structure of CuAgMo2 at the PBE level of DFT.

Properties
Symmetry = Pm, No. 6
M_tot = 0.00 μB/f.u.
ΔE to the lowest computed polymorph = 107 meV/atom
Calculated formation energy = 33 kJ per mole of atoms

Cell and atoms, written as POSCAR:
```
CuAgMo2
1.0
2.6289 0.0000 0.0000
0.0000 4.3885 0.0000
-0.5991 0.0000 5.3524
Cu Ag Mo
1 1 2
Cartesian
0.0000 0.0000 0.0000 Cu
2.1387 2.1942 3.9880 Ag
0.7314 0.0000 2.5657 Mo
1.4369 2.1942 1.2402 Mo
```

---

Computed, not measured: a relaxed structure of ScMn2Mo at the PBE level of DFT.

Properties
Symmetry = C2/m, No. 12
M_tot = 0.75 μB/f.u.
Calculated formation energy = 25 kJ per mole of atoms

Cell and atoms, written as POSCAR:
```
ScMn2Mo
1.0
2.7468 -4.0967 0.0000
2.7468 4.0967 0.0000
-0.9811 0.0000 2.5259
Sc Mn Mo
1 2 1
Cartesian
0.0000 0.0000 0.0000 Sc
0.8829 2.0484 1.2630 Mn
0.8829 -2.0484 1.2630 Mn
2.7468 0.0000 0.0000 Mo
```